LiHg4As: optimized geometry, PBE.

Cell lengths 5.9349, 5.9349, 5.9349 Å; angles 60.00, 60.00, 60.00 degrees
Atoms (fractional coordinates):
Li: 0.0000 0.0000 0.0000
Hg: 0.3751 0.3751 0.3751
Hg: 0.3751 0.3751 0.8746
Hg: 0.3751 0.8746 0.3751
Hg: 0.8746 0.3751 0.3751
As: 0.7500 0.7500 0.7500

## Properties
The formation enthalpy at 0 K comes out at 0.196 eV/atom. As for the density of states at the Fermi level: 0.73 states/eV/atom. For the total magnetic moment, the calculation gives 0.0 μB per formula unit. As for the total DFT energy (no corrections): -1.10 eV/atom.



Gd2HfH: optimized geometry, PBE.

Cell lengths 9.3785, 9.3785, 9.3785 Å; angles 20.24, 20.24, 20.24 degrees
Atoms (fractional coordinates):
Gd: 0.1136 0.1136 0.1136
Gd: 0.8864 0.8864 0.8864
Hf: 0.0000 0.0000 0.0000
H: 0.5000 0.5000 0.5000

## Properties
The calculation puts the distance to the lowest polymorph of the same formula at 82.1 meV per atom. As for the density of states at the Fermi level: 0.96 states/eV/atom. For the total magnetic moment, the calculation gives 14.8 μB per formula unit. As for the total DFT energy (no corrections): -10.19 eV/atom.



ZrZn2AuI: optimized geometry, PBE.

Cell lengths 4.8962, 4.8962, 5.4152 Å; angles 90.00, 90.00, 90.00 degrees
Atoms (fractional coordinates):
Zr: 0.0000 0.0000 0.0000
Zn: 0.0000 0.5000 0.5000
Zn: 0.5000 0.0000 0.5000
Au: 0.0000 0.0000 0.5000
I: 0.5000 0.5000 0.0000

## Properties
As for the density of states at the Fermi level: 0.68 states/eV/atom. For the total magnetic moment, the calculation gives 0.6 μB per formula unit. The formation energy (no corrections) comes out at 143 meV/atom. As for the total DFT energy (no corrections): -3.04 eV/atom.



KPrSiSe4: optimized geometry, PBE.

Cell lengths 6.8692, 7.0531, 9.1819 Å; angles 90.00, 107.62, 90.00 degrees
Atoms (fractional coordinates):
K: 0.2372 0.0000 0.4354
K: 0.7628 0.5000 0.5646
Pr: 0.2713 0.0104 0.9494
Pr: 0.7287 0.5104 0.0506
Si: 0.2811 0.4773 0.1795
Si: 0.7189 0.9773 0.8205
Se: 0.0851 0.4757 0.3382
Se: 0.0889 0.4279 0.9307
Se: 0.4757 0.7419 0.7695
Se: 0.4799 0.7462 0.2136
Se: 0.5201 0.2462 0.7864
Se: 0.5243 0.2419 0.2305
Se: 0.9111 0.9279 0.0693
Se: 0.9149 0.9757 0.6618

## Properties
As for the density of states at the Fermi level: 0.00 states/eV/atom. For the total magnetic moment, the calculation gives 0.0 μB per formula unit. The formation energy (no corrections) comes out at -1252 meV/atom. As for the total DFT energy (no corrections): -4.86 eV/atom.



YTcMo2H: optimized geometry, PBE.

Cell lengths 3.9234, 3.9234, 4.8775 Å; angles 90.00, 90.00, 90.00 degrees
Atoms (fractional coordinates):
Y: 0.0000 0.0000 0.0000
Tc: 0.5000 0.5000 0.0000
Mo: 0.0000 0.5000 0.5000
Mo: 0.5000 0.0000 0.5000
H: 0.0000 0.0000 0.5000

## Properties
As for the density of states at the Fermi level: 0.79 states/eV/atom. For the total magnetic moment, the calculation gives 0.0 μB per formula unit. As for the total DFT energy (no corrections): -8.02 eV/atom.